Here is a relaxed VIn2Ge crystal from Alexandria. Energies are from PBE.

Unit cell a=8.0290 b=8.0290 c=6.3151 alpha=50.53 beta=50.53 gamma=90.00
Site moments in Bohr magnetons follow the coordinates.
Fractional positions:
V: 0.5000 0.5000 0.0000  2.41
V: 0.2500 0.7500 0.5000  2.41
Ge: 0.7500 0.2500 0.5000  -0.10
Ge: 0.0000 0.0000 0.0000  -0.10
In: 0.1048 0.6250 0.2500  -0.01
In: 0.8750 0.8952 0.7500  -0.01
In: 0.6452 0.1250 0.2500  -0.01
In: 0.3750 0.3548 0.7500  -0.01

Properties
The value obtained for the magnetization is 2.67 μB per formula unit. The energy of formation from the pure elements is 0.4769 eV/atom. The value obtained for the calculated total energy is -17.31 eV/f.u.